#a
This record from Alexandria via LeMat-Bulk describes an optimized crystal structure of CdCoIO2. The functional is PBE+U.

Cell and atoms, written as POSCAR:
```
CdCoIO2
1.0
4.113 0.000 0.000
0.000 4.113 0.000
0.000 0.000 6.813
Cd Co I O
1 1 1 2
direct
0.000 0.000 0.000 Cd
0.500 0.500 0.500 Co
0.000 0.000 0.500 I
0.000 0.500 0.000 O
0.500 0.000 0.000 O
```

Properties
Space group   P4/mmm
Density of states at the Fermi level   4.26 states/eV/f.u.
Total moment   3.38 μB per cell



#b
This record from Alexandria via LeMat-Bulk describes an optimized crystal structure of CdCoIO2. The functional is PBE+U.

Cell and atoms, written as POSCAR:
```
CdCoIO2
1.0
3.961 0.000 0.000
0.000 3.961 0.000
0.000 0.000 5.848
Cd Co I O
1 1 1 2
direct
0.000 0.000 0.000 Cd
0.500 0.500 0.500 Co
0.500 0.500 0.000 I
0.000 0.500 0.500 O
0.500 0.000 0.500 O
```

Properties
Space group   P4/mmm
Density of states at the Fermi level   2.52 states/eV/f.u.
Total moment   3.89 μB per cell



Of them, the most stable is #b and the least stable is #a.



#a
This record from Alexandria via LeMat-Bulk describes an optimized crystal structure of CdCoI2O. The functional is PBE+U.

Cell and atoms, written as POSCAR:
```
CdCoI2O
1.0
5.929 0.000 0.000
0.000 5.929 0.000
0.000 0.000 4.054
Cd Co I O
1 1 2 1
direct
0.000 0.000 0.000 Cd
0.500 0.500 0.500 Co
0.000 0.500 0.000 I
0.500 0.000 0.000 I
0.000 0.000 0.500 O
```

Properties
Space group   P4/mmm
Density of states at the Fermi level   9.50 states/eV/f.u.
Total moment   2.89 μB per cell



#b
This record from Alexandria via LeMat-Bulk describes an optimized crystal structure of CdCoI2O. The functional is PBE+U.

Cell and atoms, written as POSCAR:
```
CdCoI2O
1.0
5.773 0.000 0.000
0.000 5.773 0.000
0.000 0.000 3.665
Cd Co I O
1 1 2 1
direct
0.000 0.000 0.000 Cd
0.500 0.500 0.500 Co
0.000 0.500 0.500 I
0.500 0.000 0.500 I
0.500 0.500 0.000 O
```

Properties
Space group   P4/mmm
Density of states at the Fermi level   3.69 states/eV/f.u.
Total moment   3.60 μB per cell



#c
This record from Alexandria via LeMat-Bulk describes an optimized crystal structure of CdCoI2O. The functional is PBE+U.

Cell and atoms, written as POSCAR:
```
CdCoI2O
1.0
6.588 0.000 0.000
0.000 6.588 0.000
0.000 0.000 3.449
Cd Co I O
1 1 2 1
direct
0.000 0.000 0.000 Cd
0.500 0.500 0.000 Co
0.000 0.500 0.500 I
0.500 0.000 0.500 I
0.500 0.500 0.500 O
```

Properties
Space group   P4/mmm
Density of states at the Fermi level   3.94 states/eV/f.u.
Total moment   3.57 μB per cell



Of them, the most stable is #b and the least stable is #a.